Entry 1:
First-principles (GGA-PBE) data for crystalline EuCd2Ga at its relaxed geometry, as listed in Alexandria.

Cell: 3.729 3.729 7.276 Å, 90.00 90.00 90.00°
Space group P4/mmm (No. 123)
Inequivalent atoms, fractional coordinates:
Eu (0.000, 0.000, 0.000)
Cd (0.500, 0.500, 0.286)
Ga (0.000, 0.000, 0.500)

Summary:
The formation energy is -183 meV per atom. As for the distance to the lowest polymorph of the same formula: 67 meV per atom.

=====

Entry 2:
First-principles (GGA-PBE) data for crystalline EuCdGa4 at its relaxed geometry, as listed in Alexandria.

Cell: 8.013 8.013 8.013 Å, 90.00 90.00 90.00°
Space group F-43m (No. 216)
Inequivalent atoms, fractional coordinates:
Eu (0.000, 0.000, 0.000)
Cd (0.250, 0.250, 0.750)
Ga (0.125, 0.125, 0.375)

Summary:
The formation energy is -220 meV per atom.

=====

Entry 3:
First-principles (GGA-PBE) data for crystalline EuCd2Ga at its relaxed geometry, as listed in Alexandria.

Cell: 4.499 4.499 4.927 Å, 90.00 90.00 90.00°
Space group P4/mmm (No. 123)
Inequivalent atoms, fractional coordinates:
Eu (0.000, 0.000, 0.000)
Cd (0.000, 0.500, 0.500)
Ga (0.500, 0.500, 0.000)

Summary:
The formation energy is -250 meV per atom. As for the distance to the lowest polymorph of the same formula: 0 meV per atom.

=====

Entry 4:
First-principles (GGA-PBE) data for crystalline EuCdGa2 at its relaxed geometry, as listed in Alexandria.

Cell: 4.677 4.677 4.202 Å, 90.00 90.00 90.00°
Space group P4/mmm (No. 123)
Inequivalent atoms, fractional coordinates:
Eu (0.000, 0.000, 0.000)
Cd (0.500, 0.500, 0.000)
Ga (0.000, 0.500, 0.500)

Summary:
The formation energy is -302 meV per atom.

=====

Entry 5:
First-principles (GGA-PBE) data for crystalline EuGdCdGa at its relaxed geometry, as listed in Alexandria.

Cell: 7.518 7.518 7.518 Å, 90.00 90.00 90.00°
Space group F-43m (No. 216)
Inequivalent atoms, fractional coordinates:
Eu (0.000, 0.000, 0.000)
Gd (0.000, 0.000, 0.500)
Cd (0.250, 0.250, 0.250)
Ga (0.250, 0.250, 0.750)

Summary:
The formation energy is -415 meV per atom.

=====

Entry 6:
First-principles (GGA-PBE) data for crystalline EuCdGaHg at its relaxed geometry, as listed in Alexandria.

Cell: 7.263 7.263 7.263 Å, 90.00 90.00 90.00°
Space group F-43m (No. 216)
Inequivalent atoms, fractional coordinates:
Eu (0.000, 0.000, 0.000)
Cd (0.000, 0.000, 0.500)
Ga (0.250, 0.250, 0.750)
Hg (0.250, 0.250, 0.250)

Summary:
The formation energy is -350 meV per atom.

=====

Entry 7:
First-principles (GGA-PBE) data for crystalline LaEuCdGa at its relaxed geometry, as listed in Alexandria.

Cell: 7.703 7.703 7.703 Å, 90.00 90.00 90.00°
Space group F-43m (No. 216)
Inequivalent atoms, fractional coordinates:
La (0.000, 0.000, 0.000)
Eu (0.000, 0.000, 0.500)
Cd (0.250, 0.250, 0.750)
Ga (0.250, 0.250, 0.250)

Summary:
The formation energy is -425 meV per atom.

=====

Entry 8:
First-principles (GGA-PBE) data for crystalline LiEuCdGa at its relaxed geometry, as listed in Alexandria.

Cell: 7.028 7.028 7.028 Å, 90.00 90.00 90.00°
Space group F-43m (No. 216)
Inequivalent atoms, fractional coordinates:
Li (0.000, 0.000, 0.000)
Eu (0.250, 0.250, 0.250)
Cd (0.250, 0.250, 0.750)
Ga (0.000, 0.000, 0.500)

Summary:
The formation energy is -331 meV per atom.

=====

Entry 9:
First-principles (GGA-PBE) data for crystalline NaEuCdGa at its relaxed geometry, as listed in Alexandria.

Cell: 7.477 7.477 7.477 Å, 90.00 90.00 90.00°
Space group F-43m (No. 216)
Inequivalent atoms, fractional coordinates:
Na (0.000, 0.000, 0.000)
Eu (0.000, 0.000, 0.500)
Cd (0.250, 0.250, 0.250)
Ga (0.250, 0.250, 0.750)

Summary:
The formation energy is -194 meV per atom.

=====

Entry 10:
First-principles (GGA-PBE) data for crystalline PmEuCdGa at its relaxed geometry, as listed in Alexandria.

Cell: 7.590 7.590 7.590 Å, 90.00 90.00 90.00°
Space group F-43m (No. 216)
Inequivalent atoms, fractional coordinates:
Pm (0.000, 0.000, 0.000)
Eu (0.000, 0.000, 0.500)
Cd (0.250, 0.250, 0.750)
Ga (0.250, 0.250, 0.250)

Summary:
The formation energy is -406 meV per atom.

=====

Entry 11:
First-principles (GGA-PBE) data for crystalline PrEuCdGa at its relaxed geometry, as listed in Alexandria.

Cell: 7.647 7.647 7.647 Å, 90.00 90.00 90.00°
Space group F-43m (No. 216)
Inequivalent atoms, fractional coordinates:
Pr (0.000, 0.000, 0.000)
Eu (0.000, 0.000, 0.500)
Cd (0.250, 0.250, 0.750)
Ga (0.250, 0.250, 0.250)

Summary:
The formation energy is -406 meV per atom.

=====

Entry 12:
First-principles (GGA-PBE) data for crystalline EuCdGaSn at its relaxed geometry, as listed in Alexandria.

Cell: 7.398 7.398 7.398 Å, 90.00 90.00 90.00°
Space group F-43m (No. 216)
Inequivalent atoms, fractional coordinates:
Eu (0.000, 0.000, 0.000)
Cd (0.000, 0.000, 0.500)
Ga (0.250, 0.250, 0.750)
Sn (0.250, 0.250, 0.250)

Summary:
The formation energy is -278 meV per atom.

=====

Entry 13:
First-principles (GGA-PBE) data for crystalline EuTlCdGa at its relaxed geometry, as listed in Alexandria.

Cell: 7.395 7.395 7.395 Å, 90.00 90.00 90.00°
Space group F-43m (No. 216)
Inequivalent atoms, fractional coordinates:
Eu (0.000, 0.000, 0.000)
Tl (0.250, 0.250, 0.750)
Cd (0.000, 0.000, 0.500)
Ga (0.250, 0.250, 0.250)

Summary:
The formation energy is -271 meV per atom.

=====

Entry 14:
First-principles (GGA-PBE) data for crystalline EuGd2Cd at its relaxed geometry, as listed in Alexandria.

Cell: 3.708 3.708 9.302 Å, 90.00 90.00 90.00°
Space group P4/mmm (No. 123)
Inequivalent atoms, fractional coordinates:
Eu (0.000, 0.000, 0.000)
Gd (0.500, 0.500, 0.294)
Cd (0.000, 0.000, 0.500)

Summary:
The formation energy is -89 meV per atom. As for the distance to the lowest polymorph of the same formula: 0 meV per atom.

=====

Entry 15:
First-principles (GGA-PBE) data for crystalline EuGd2Cd at its relaxed geometry, as listed in Alexandria.

Cell: 7.846 7.846 7.846 Å, 90.00 90.00 90.00°
Space group Fm-3m (No. 225)
Inequivalent atoms, fractional coordinates:
Eu (0.000, 0.000, 0.000)
Gd (0.250, 0.250, 0.250)
Cd (0.000, 0.000, 0.500)

Summary:
The formation energy is -21 meV per atom. As for the distance to the lowest polymorph of the same formula: 68 meV per atom.

=====

Entry 16:
First-principles (GGA-PBE) data for crystalline EuGdCdHg at its relaxed geometry, as listed in Alexandria.

Cell: 7.667 7.667 7.667 Å, 90.00 90.00 90.00°
Space group F-43m (No. 216)
Inequivalent atoms, fractional coordinates:
Eu (0.000, 0.000, 0.000)
Gd (0.000, 0.000, 0.500)
Cd (0.250, 0.250, 0.750)
Hg (0.250, 0.250, 0.250)

Summary:
The formation energy is -416 meV per atom.

=====

Entry 17:
First-principles (GGA-PBE) data for crystalline LaEuGdCd at its relaxed geometry, as listed in Alexandria.

Cell: 7.971 7.971 7.971 Å, 90.00 90.00 90.00°
Space group F-43m (No. 216)
Inequivalent atoms, fractional coordinates:
La (0.000, 0.000, 0.000)
Eu (0.250, 0.250, 0.750)
Gd (0.000, 0.000, 0.500)
Cd (0.250, 0.250, 0.250)

Summary:
The formation energy is -44 meV per atom.

=====

Entry 18:
First-principles (GGA-PBE) data for crystalline LiEuGdCd at its relaxed geometry, as listed in Alexandria.

Cell: 7.706 7.706 7.706 Å, 90.00 90.00 90.00°
Space group F-43m (No. 216)
Inequivalent atoms, fractional coordinates:
Li (0.000, 0.000, 0.000)
Eu (0.250, 0.250, 0.750)
Gd (0.250, 0.250, 0.250)
Cd (0.000, 0.000, 0.500)

Summary:
The formation energy is -116 meV per atom.

=====

Entry 19:
First-principles (GGA-PBE) data for crystalline NdEuGdCd at its relaxed geometry, as listed in Alexandria.

Cell: 7.908 7.908 7.908 Å, 90.00 90.00 90.00°
Space group F-43m (No. 216)
Inequivalent atoms, fractional coordinates:
Nd (0.000, 0.000, 0.000)
Eu (0.250, 0.250, 0.750)
Gd (0.000, 0.000, 0.500)
Cd (0.250, 0.250, 0.250)

Summary:
The formation energy is -31 meV per atom.

=====

Entry 20:
First-principles (GGA-PBE) data for crystalline EuGdCdPd at its relaxed geometry, as listed in Alexandria.

Cell: 7.413 7.413 7.413 Å, 90.00 90.00 90.00°
Space group F-43m (No. 216)
Inequivalent atoms, fractional coordinates:
Eu (0.000, 0.000, 0.000)
Gd (0.000, 0.000, 0.500)
Cd (0.250, 0.250, 0.250)
Pd (0.250, 0.250, 0.750)

Summary:
The formation energy is -470 meV per atom.